[1]
A relaxed AsPAu crystal, computed with PBE-GGA.

total magnetic moment: 0.0 μB/cell
formation enthalpy at 0 K: 1.5 eV per formula unit
volume: 18.441 Å³/atom
E above lowest polymorph: 154 meV per atom

a = 2.7456 Å, b = 2.7456 Å, c = 14.6776 Å
α = 90.00°, β = 90.00°, γ = 90.00°
Closest atoms and distances in Å follow each position.
Space group I4mm (No. 107)
One atom of each set of equivalent atoms:
As1 0.0000 0.0000 0.0000 x2  4 As 2.75
P1 0.0000 0.0000 0.3112 x2  4 P 2.75, 4 Au 2.91
Au1 0.0000 0.0000 0.6636 x2  4 Au 2.75, 4 P 2.91

=====

[2]
A relaxed BeNbH crystal, computed with PBE-GGA.

total magnetic moment: 0.0 μB/cell
volume: 9.539 Å³/atom
E above lowest polymorph: 94 meV per atom

a = 9.4331 Å, b = 3.4379 Å, c = 3.5307 Å
α = 90.00°, β = 91.42°, γ = 90.00°
Closest atoms and distances in Å follow each position.
Space group Cm (No. 8)
One atom of each set of equivalent atoms:
Be1 0.0000 0.0000 0.0000 x2  1 H 1.54
Be2 0.1339 0.0000 0.5004 x2  2 H 1.72
Nb1 0.2128 0.5000 0.0060 x2  3 H 1.89-1.97
Nb2 0.4134 0.0000 0.4895 x2  3 H 1.92-1.95
H1 0.1202 0.5000 0.4982 x2  2 Be 1.72
H2 0.3765 0.5000 0.7083 x2  1 Be 1.54

=====

[3]
A relaxed Sm4ZnC crystal, computed with PBE-GGA.

total magnetic moment: 0.0 μB/cell
formation enthalpy at 0 K: -0.4 eV per formula unit
volume: 26.847 Å³/atom

a = 8.2977 Å, b = 14.2510 Å, c = 6.2886 Å
α = 90.00°, β = 119.95°, γ = 90.00°
Closest atoms and distances in Å follow each position.
Space group C2/c (No. 15)
One atom of each set of equivalent atoms:
Sm1 0.1374 0.2011 0.1380 x8  1 C 2.45
Sm2 0.2238 0.0476 0.6926 x8  2 C 2.48-2.67
Zn1 0.0000 0.3816 0.7500 x4  6 Sm 2.97-3.25
C1 0.0000 0.0712 0.2500 x4  6 Sm 2.45-2.67